i:
The following is a PBE calculation of a geometry-optimized FeIrOs2 structure, from Alexandria.

The space group is Pmmm (No. 47) and the conventional cell measures 2.681, 3.779 and 5.335 Å, with angles of 90.00, 90.00 and 90.00 degrees. Symmetry generates all atoms from Fe at (0.000, 0.000, 0.000), Ir at (0.000, 0.000, 0.500) and Os at (0.500, 0.500, 0.237).

The calculation puts the magnetic moment at 0.03 μB per formula unit.

---

ii:
The following is a PBE calculation of a geometry-optimized FeIrOs2 structure, from Alexandria.

The space group is C2/m (No. 12) and the conventional cell measures 8.873, 2.701 and 4.650 Å, with angles of 90.00, 100.33 and 90.00 degrees. Symmetry generates all atoms from Fe at (0.000, 0.000, 0.000), Ir at (0.000, 0.500, 0.500) and Os at (0.248, 0.500, 0.242).

The calculation puts the magnetic moment at 1.47 μB per formula unit.

---

iii:
The following is a PBE calculation of a geometry-optimized FeIrOs2 structure, from Alexandria.

The space group is F-43m (No. 216) and the conventional cell measures 6.110, 6.110 and 6.110 Å, with angles of 90.00, 90.00 and 90.00 degrees. Symmetry generates all atoms from Fe at (0.000, 0.000, 0.000), Ir at (0.250, 0.250, 0.750), Os at (0.000, 0.000, 0.500) and Os at (0.250, 0.250, 0.250).

The calculation puts the magnetic moment at 1.39 μB per formula unit.

---

iv:
The following is a PBE calculation of a geometry-optimized FeIrOs2 structure, from Alexandria.

The space group is P4mm (No. 99) and the conventional cell measures 2.713, 2.713 and 7.488 Å, with angles of 90.00, 90.00 and 90.00 degrees. Symmetry generates all atoms from Fe at (0.000, 0.000, 0.000), Ir at (0.500, 0.500, 0.243), Os at (0.000, 0.000, 0.503) and Os at (0.500, 0.500, 0.757).

The calculation puts the magnetic moment at 2.16 μB per formula unit.

---

In terms of stability, iv leads; the second structure lies 7 meV/atom higher.

---

i:
The following is a PBE calculation of a geometry-optimized FeIrOs2 structure, from Alexandria.

The space group is I-42d (No. 122) and the conventional cell measures 5.216, 5.216 and 11.441 Å, with angles of 90.00, 90.00 and 90.00 degrees. Symmetry generates all atoms from Fe at (0.000, 0.000, 0.000), Ir at (0.000, 0.000, 0.500) and Os at (0.224, 0.250, 0.125).

The calculation puts the magnetic moment at 0.00 μB per formula unit.

---

ii:
The following is a PBE calculation of a geometry-optimized FeIrOs2 structure, from Alexandria.

The space group is Cmm2 (No. 35) and the conventional cell measures 2.743, 4.609 and 9.064 Å, with angles of 90.00, 90.00 and 90.00 degrees. Symmetry generates all atoms from Fe at (0.000, 0.000, 0.000), Ir at (0.000, 0.500, 0.240), Os at (0.000, 0.000, 0.503) and Os at (0.000, 0.500, 0.759).

The calculation puts the magnetic moment at 3.72 μB per formula unit.

---

iii:
The following is a PBE calculation of a geometry-optimized FeIrOs2 structure, from Alexandria.

The space group is P4/mmm (No. 123) and the conventional cell measures 2.683, 2.683 and 7.492 Å, with angles of 90.00, 90.00 and 90.00 degrees. Symmetry generates all atoms from Fe at (0.000, 0.000, 0.000), Ir at (0.000, 0.000, 0.500) and Os at (0.500, 0.500, 0.237).

The calculation puts the magnetic moment at 0.29 μB per formula unit.

---

iv:
The following is a PBE calculation of a geometry-optimized FeIrOs2 structure, from Alexandria.

The space group is Fm-3m (No. 225) and the conventional cell measures 6.100, 6.100 and 6.100 Å, with angles of 90.00, 90.00 and 90.00 degrees. Symmetry generates all atoms from Fe at (0.000, 0.000, 0.000), Ir at (0.000, 0.000, 0.500) and Os at (0.250, 0.250, 0.250).

The calculation puts the magnetic moment at 3.67 μB per formula unit.

---

In terms of stability, iii leads; the second structure lies 303 meV/atom higher.

---

i:
The following is a PBE calculation of a geometry-optimized FeIrOs2 structure, from Alexandria.

The space group is I4/mmm (No. 139) and the conventional cell measures 3.766, 3.766 and 7.619 Å, with angles of 90.00, 90.00 and 90.00 degrees. Symmetry generates all atoms from Fe at (0.000, 0.000, 0.000), Ir at (0.000, 0.000, 0.500) and Os at (0.000, 0.500, 0.250).

The calculation puts the magnetic moment at 0.00 μB per formula unit.

---

ii:
The following is a PBE calculation of a geometry-optimized FeIrOs2 structure, from Alexandria.

The space group is Pmmm (No. 47) and the conventional cell measures 2.746, 4.540 and 4.582 Å, with angles of 90.00, 90.00 and 90.00 degrees. Symmetry generates all atoms from Fe at (0.000, 0.000, 0.000), Ir at (0.500, 0.500, 0.000), Os at (0.000, 0.500, 0.500) and Os at (0.500, 0.000, 0.500).

The calculation puts the magnetic moment at 3.48 μB per formula unit.

---

In terms of stability, i leads; the second structure lies 338 meV/atom higher.

---

i:
The following is a PBE calculation of a geometry-optimized FeIrOs2 structure, from Alexandria.

The space group is R3m (No. 160, hexagonal axes) and the conventional cell measures 2.7209, 2.7209 and 26.1228 Å, with angles of 90.00, 90.00 and 120.00 degrees. Symmetry generates all atoms from Fe at (0.0000, 0.0000, 0.0000), Ir at (0.0000, 0.0000, 0.7478), Os at (0.0000, 0.0000, 0.2507) and Os at (0.0000, 0.0000, 0.5007).

The calculation puts the magnetic moment at 2.44 μB per formula unit.

---

ii:
The following is a PBE calculation of a geometry-optimized FeIrOs2 structure, from Alexandria.

The space group is Pmm2 (No. 25) and the conventional cell measures 2.718, 3.781 and 5.371 Å, with angles of 90.00, 90.00 and 90.00 degrees. Symmetry generates all atoms from Fe at (0.000, 0.000, 0.000), Ir at (0.500, 0.500, 0.242), Os at (0.000, 0.000, 0.511) and Os at (0.500, 0.500, 0.753).

The calculation puts the magnetic moment at 2.20 μB per formula unit.

---

iii:
The following is a PBE calculation of a geometry-optimized FeIrOs2 structure, from Alexandria.

The space group is P-1 (No. 2) and the conventional cell measures 4.671, 5.383 and 8.829 Å, with angles of 89.97, 80.33 and 89.92 degrees. Symmetry generates all atoms from Fe at (0.123, 0.496, 0.122), Fe at (0.287, 0.500, 0.630), Ir at (0.211, 0.739, 0.374), Ir at (0.371, 0.738, 0.877), Os at (0.127, 0.997, 0.124), Os at (0.212, 0.249, 0.373), Os at (0.287, 0.000, 0.628) and Os at (0.365, 0.256, 0.878).

The calculation puts the magnetic moment at 1.65 μB per formula unit.

---

iv:
The following is a PBE calculation of a geometry-optimized FeIrOs2 structure, from Alexandria.

The space group is I-4m2 (No. 119) and the conventional cell measures 3.799, 3.799 and 7.604 Å, with angles of 90.00, 90.00 and 90.00 degrees. Symmetry generates all atoms from Fe at (0.000, 0.000, 0.000), Ir at (0.000, 0.500, 0.750), Os at (0.000, 0.000, 0.500) and Os at (0.000, 0.500, 0.250).

The calculation puts the magnetic moment at 1.75 μB per formula unit.

---

In terms of stability, iii leads; the second structure lies 30 meV/atom higher.